## NaNbFeTe3 (PBE-GGA)

Data for a geometry-optimized NaNbFeTe3 structure.

a b c (Å): 8.0163 8.0163 10.2313
angles (deg): 90.00 90.00 153.22
With the nearest neighbours (Å) after each atom.
Element x y z (fractional)
Fe  0.0287  0.9712  0.2500  4 Te 2.54-2.57
Fe  0.9712  0.0287  0.7500  4 Te 2.54-2.57
Te  0.8680  0.1320  0.9422  1 Fe 2.54, 2 Nb 2.83
Te  0.4151  0.5849  0.2500  2 Fe 2.57
Te  0.1320  0.8680  0.0578  1 Fe 2.54, 2 Nb 2.83
Te  0.8680  0.1320  0.5578  1 Fe 2.54, 2 Nb 2.83
Te  0.5849  0.4151  0.7500  2 Fe 2.57
Te  0.1320  0.8680  0.4422  1 Fe 2.54, 2 Nb 2.83
Nb  0.5000  0.5000  0.0000  6 Te 2.83-2.88
Nb  0.5000  0.5000  0.5000  6 Te 2.83-2.88
Na  0.7434  0.2566  0.2500  6 Te 3.21-3.26
Na  0.2566  0.7434  0.7500  6 Te 3.21-3.26

Values from the calculation:
The total moment is 0.332 μB per atom. Its space group is No. 63. Its total energy is -5.25 eV/atom.

## Cs2Sn2Hg3Se8 (PBE-GGA)

Data for a geometry-optimized Cs2Sn2Hg3Se8 structure.

a b c (Å): 7.1890 8.3271 9.6955
angles (deg): 107.85 92.72 108.77
With the nearest neighbours (Å) after each atom.
Element x y z (fractional)
Sn  0.7452  0.8342  0.7405  4 Se 2.55-2.60
Sn  0.2548  0.1658  0.2595  4 Se 2.55-2.60
Se  0.6627  0.6325  0.8986  1 Sn 2.56, 1 Hg 2.66
Se  0.9200  0.1466  0.3492  1 Sn 2.57, 1 Hg 2.60
Se  0.2730  0.8592  0.1161  1 Sn 2.55, 1 Hg 2.71
Se  0.3373  0.3675  0.1014  1 Sn 2.56, 1 Hg 2.66
Se  0.0800  0.8534  0.6508  1 Sn 2.57, 1 Hg 2.60
Se  0.7270  0.1408  0.8839  1 Sn 2.55, 1 Hg 2.71
Se  0.4933  0.6944  0.4964  1 Hg 2.52, 1 Sn 2.60
Se  0.5067  0.3056  0.5036  1 Hg 2.52, 1 Sn 2.60
Hg  0.3336  0.0805  0.8826  3 Se 2.60-2.71
Hg  0.6664  0.9195  0.1174  3 Se 2.60-2.71
Hg  0.5000  0.0000  0.5000  2 Se 2.52
Cs  0.8852  0.5435  0.2548  9 Se 3.77-4.15
Cs  0.1148  0.4565  0.7452  9 Se 3.77-4.15

Values from the calculation:
Its space group is No. 2. Its total energy is -3.11 eV/atom.

## SmLu2Cu4Si4 (PBE-GGA)

Data for a geometry-optimized SmLu2Cu4Si4 structure.

a b c (Å): 7.8103 7.8103 7.8103
angles (deg): 149.77 130.20 59.37
With the nearest neighbours (Å) after each atom.
Element x y z (fractional)
Si  0.2192  0.2192  0.0000  6 Cu 2.49-2.52
Si  0.3185  0.5000  0.8185  1 Si 2.39, 2 Cu 2.46
Si  0.7808  0.7808  0.0000  6 Cu 2.49-2.52
Si  0.6815  0.5000  0.1815  1 Si 2.39, 2 Cu 2.46
Cu  0.3621  0.6703  0.6918  4 Si 2.46-2.52, 1 Cu 2.52
Cu  0.0215  0.3297  0.6918  4 Si 2.46-2.52, 1 Cu 2.52
Cu  0.9785  0.6703  0.3082  4 Si 2.46-2.52, 1 Cu 2.52
Cu  0.6379  0.3297  0.3082  4 Si 2.46-2.52, 1 Cu 2.52
Lu  0.6283  0.1283  0.5000  6 Si 2.90-2.93, 6 Cu 2.93-3.01
Lu  0.3717  0.8717  0.5000  6 Si 2.90-2.93, 6 Cu 2.93-3.01
Sm  0.0000  0.0000  0.0000  6 Si 2.92-2.98

Values from the calculation:
The total moment is 0.001 μB per atom. Its space group is No. 71. Its total energy is -5.20 eV/atom.

## IrF4 (PBE-GGA)

Data for a geometry-optimized IrF4 structure.

a b c (Å): 4.6102 4.6102 4.6102
angles (deg): 129.01 129.01 75.00
With the nearest neighbours (Å) after each atom.
Element x y z (fractional)
F  0.0000  0.5000  0.5000  2 Ir 1.98
F  0.7411  0.7411  0.0000  1 Ir 1.89
F  0.5000  0.0000  0.5000  2 Ir 1.98
F  0.2589  0.2589  0.0000  1 Ir 1.89
Ir  0.0000  0.0000  0.0000  6 F 1.89-1.98

Values from the calculation:
The total moment is 0.303 μB per atom. Its space group is No. 139. Its total energy is -4.46 eV/atom.